[1]
The following is a DFT calculation (PBE-GGA) of a relaxed structure of PRuNO2.

The structure in extended XYZ format:
```
5
Lattice="3.634 0.000 0.000 0.000 3.634 0.000 0.000 0.000 5.241" Properties=species:S:1:pos:R:3 pbc="T T T"
P 0.000 0.000 0.000
Ru 0.000 0.000 2.621
N 1.817 1.817 0.000
O 0.000 1.817 2.621
O 1.817 0.000 2.621
```

space group = No. 123
V = 69.2 Å³/cell
energy = -6.023 eV per atom
Fermi-level density of states = 3.6 states/eV/cell


[2]
The following is a DFT calculation (PBE-GGA) of a relaxed structure of PRuN2O.

The structure in extended XYZ format:
```
5
Lattice="3.613 0.000 0.000 0.000 3.613 0.000 0.000 0.000 3.353" Properties=species:S:1:pos:R:3 pbc="T T T"
P 0.000 0.000 0.000
Ru 1.806 1.806 1.677
N 0.000 1.806 0.000
N 1.806 0.000 0.000
O 0.000 0.000 1.677
```

space group = No. 123
V = 43.8 Å³/cell
energy = -6.572 eV per atom
Fermi-level density of states = 3.2 states/eV/cell